1.
{
  "formula": "La4Zn3",
  "functional": "PBE",
  "state": "relaxed",
  "crystal_system": "trigonal",
  "m_tot_mub_per_cell": 0.0,
  "formation_energy_kj_per_mol_atoms": -18,
  "dft_energy_ry_per_atom": -0.261,
  "spacegroup": "R-3m (166)",
  "lattice": [[5.055, 0.000, 1.507], [2.303, 4.500, 1.507], [0.071, 0.043, 8.994]],
  "species": ["Zn", "Zn", "Zn", "La", "La", "La", "La"],
  "fractional_positions": [[0.253, 0.253, 0.241], [0.747, 0.747, 0.759], [0.000, 0.000, 0.000], [0.128, 0.128, 0.617], [0.380, 0.380, 0.861], [0.620, 0.620, 0.139], [0.872, 0.872, 0.383]]
}

2.
{
  "formula": "Dy6SnSb3Se2",
  "functional": "PBE",
  "state": "relaxed",
  "crystal_system": "monoclinic",
  "m_tot_mub_per_cell": 0.0,
  "e_form_raw_ev_per_atom": -1.273,
  "dft_energy_ry_per_atom": -0.406,
  "spacegroup": "C2/m (12)",
  "lattice": [[4.293, 0.000, 0.000], [0.000, 8.600, 0.321], [-2.147, -2.461, 9.010]],
  "species": ["Dy", "Se", "Dy", "Sn", "Dy", "Sb", "Sb", "Sb", "Dy", "Se", "Dy", "Dy"],
  "fractional_positions": [[0.333, 0.912, 0.667], [0.169, 0.338, 0.338], [0.996, 0.750, 0.993], [0.500, 0.000, 0.000], [0.667, 0.088, 0.333], [0.833, 0.169, 0.667], [0.167, 0.831, 0.333], [0.500, 0.500, 0.000], [0.332, 0.420, 0.663], [0.831, 0.662, 0.662], [0.004, 0.250, 0.007], [0.668, 0.580, 0.337]]
}

3.
{
  "formula": "Er5CuRu4",
  "functional": "PBE",
  "state": "relaxed",
  "crystal_system": "tetragonal",
  "m_tot_mub_per_cell": 0.0,
  "formation_energy_kj_per_mol_atoms": -39,
  "dft_energy_ry_per_atom": -0.500,
  "spacegroup": "P4/mmm (123)",
  "lattice": [[3.385, 0.000, 0.000], [0.000, 3.385, 0.000], [0.000, 0.000, 16.999]],
  "species": ["Ru", "Ru", "Er", "Er", "Er", "Ru", "Er", "Cu", "Ru", "Er"],
  "fractional_positions": [[0.000, 0.000, 0.801], [0.000, 0.000, 0.599], [0.500, 0.500, 0.500], [0.500, 0.500, 0.893], [0.500, 0.500, 0.696], [0.000, 0.000, 0.401], [0.500, 0.500, 0.304], [0.000, 0.000, 0.000], [0.000, 0.000, 0.199], [0.500, 0.500, 0.107]]
}

4.
{
  "formula": "Sr2Sn2Ru",
  "functional": "PBE",
  "state": "relaxed",
  "crystal_system": "tetragonal",
  "m_tot_mub_per_cell": 0.0,
  "formation_energy_kj_per_mol_atoms": 31,
  "dft_energy_ry_per_atom": -0.280,
  "spacegroup": "I4/mmm (139)",
  "lattice": [[-2.598, 2.607, -1.486], [-2.795, -1.387, 2.453], [-0.077, 6.970, 7.064]],
  "species": ["Sr", "Ru", "Sr", "Sn", "Sn"],
  "fractional_positions": [[0.590, 0.590, 0.820], [0.000, 0.000, 0.000], [0.410, 0.410, 0.180], [0.750, 0.250, 0.500], [0.250, 0.750, 0.500]]
}